# 1
## PuTlCdAg (GGA-PBE)

Data for crystalline PuTlCdAg at its relaxed geometry.

Output
Space group: F-43m, No. 216
Calculated total energy (eV per atom): -5.102
Energy of formation from the pure elements (eV/atom): 0.0143

Unit cell a=7.286 b=7.286 c=7.286 alpha=90.00 beta=90.00 gamma=90.00
Positions (direct):
Pu  0.000  0.000  0.000
Pu  0.000  0.500  0.500
Pu  0.500  0.000  0.500
Pu  0.500  0.500  0.000
Tl  0.250  0.250  0.750
Tl  0.250  0.750  0.250
Tl  0.750  0.250  0.250
Tl  0.750  0.750  0.750
Cd  0.000  0.000  0.500
Cd  0.000  0.500  0.000
Cd  0.500  0.000  0.000
Cd  0.500  0.500  0.500
Ag  0.250  0.250  0.250
Ag  0.250  0.750  0.750
Ag  0.750  0.250  0.750
Ag  0.750  0.750  0.250

# 2
## TmPuCdAg (GGA-PBE)

Data for crystalline TmPuCdAg at its relaxed geometry.

Output
Space group: F-43m, No. 216
Calculated total energy (eV per atom): -5.707
Energy of formation from the pure elements (eV/atom): -0.0650

Unit cell a=7.395 b=7.395 c=7.395 alpha=90.00 beta=90.00 gamma=90.00
Positions (direct):
Tm  0.000  0.000  0.000
Tm  0.000  0.500  0.500
Tm  0.500  0.000  0.500
Tm  0.500  0.500  0.000
Pu  0.000  0.000  0.500
Pu  0.000  0.500  0.000
Pu  0.500  0.000  0.000
Pu  0.500  0.500  0.500
Cd  0.250  0.250  0.250
Cd  0.250  0.750  0.750
Cd  0.750  0.250  0.750
Cd  0.750  0.750  0.250
Ag  0.250  0.250  0.750
Ag  0.250  0.750  0.250
Ag  0.750  0.250  0.250
Ag  0.750  0.750  0.750

# 3
## YPuCdAg (GGA-PBE)

Data for crystalline YPuCdAg at its relaxed geometry.

Output
Space group: F-43m, No. 216
Calculated total energy (eV per atom): -6.211
Energy of formation from the pure elements (eV/atom): -0.0709

Unit cell a=7.451 b=7.451 c=7.451 alpha=90.00 beta=90.00 gamma=90.00
Positions (direct):
Y  0.000  0.000  0.000
Y  0.000  0.500  0.500
Y  0.500  0.000  0.500
Y  0.500  0.500  0.000
Pu  0.000  0.000  0.500
Pu  0.000  0.500  0.000
Pu  0.500  0.000  0.000
Pu  0.500  0.500  0.500
Cd  0.250  0.250  0.750
Cd  0.250  0.750  0.250
Cd  0.750  0.250  0.250
Cd  0.750  0.750  0.750
Ag  0.250  0.250  0.250
Ag  0.250  0.750  0.750
Ag  0.750  0.250  0.750
Ag  0.750  0.750  0.250